# 1
The following is a DFT calculation (PBE-GGA) of a relaxed structure of La3Tb12Nd.

Results
**DFT formation energy**: 2.4 kJ/mol of atoms
**N(E_F)**: 24.59 states/eV/f.u.

Cell: 5.0996 5.0996 20.3864 Å, 90.00 90.00 90.00°
Space group P4/mmm (No. 123)
Unique sites:
La1 0.0000 0.0000 0.0000 (multiplicity 1)
La2 0.0000 0.0000 0.2500 (multiplicity 2)
Tb1 0.0000 0.5000 0.1254 (multiplicity 4)
Tb2 0.0000 0.5000 0.3763 (multiplicity 4)
Tb3 0.5000 0.5000 0.0000 (multiplicity 1)
Tb4 0.5000 0.5000 0.2511 (multiplicity 2)
Tb5 0.5000 0.5000 0.5000 (multiplicity 1)
Nd1 0.0000 0.0000 0.5000 (multiplicity 1)

=====

# 2
The following is a DFT calculation (PBE-GGA) of a relaxed structure of La12Tb5Nd.

Results
**DFT formation energy**: 1.8 kJ/mol of atoms
**N(E_F)**: 29.78 states/eV/f.u.

Cell: 19.1525 10.9830 6.3946 Å, 90.00 109.18 90.00°
Space group C2/m (No. 12)
Unique sites:
La1 0.0000 0.1686 0.0000 (multiplicity 4)
La2 0.0000 0.3285 0.5000 (multiplicity 4)
La3 0.1667 0.1702 0.8339 (multiplicity 8)
La4 0.1670 0.3293 0.3344 (multiplicity 8)
Tb1 0.0000 0.0000 0.5000 (multiplicity 2)
Tb2 0.1667 0.0000 0.3342 (multiplicity 4)
Tb3 0.1673 0.5000 0.8326 (multiplicity 4)
Nd1 0.0000 0.5000 0.0000 (multiplicity 2)

=====

# 3
The following is a DFT calculation (PBE-GGA) of a relaxed structure of LaTb6Nd12.

Results
**DFT formation energy**: 18.1 kJ/mol of atoms
**N(E_F)**: 37.96 states/eV/f.u.

Cell: 13.5766 13.5766 12.6838 Å, 90.00 90.00 120.00°
Space group R-3m (No. 166, hexagonal axes)
Unique sites:
La1 0.0000 0.0000 0.0000 (multiplicity 3)
Tb1 0.0415 0.5208 0.6193 (multiplicity 18)
Nd1 0.0000 0.2596 0.5000 (multiplicity 18)
Nd2 0.0905 0.1810 0.2633 (multiplicity 18)

=====

# 4
The following is a DFT calculation (PBE-GGA) of a relaxed structure of La8Tb5Nd.

Results
**DFT formation energy**: 21.8 kJ/mol of atoms
**N(E_F)**: 21.85 states/eV/f.u.

Cell: 9.7952 9.7952 10.5027 Å, 90.00 90.00 90.00°
Space group I-4 (No. 82)
Unique sites:
La1 0.0696 0.1715 0.1523 (multiplicity 8)
La2 0.0863 0.3156 0.4973 (multiplicity 8)
Tb1 0.0000 0.5000 0.2500 (multiplicity 2)
Tb2 0.1062 0.2981 0.8226 (multiplicity 8)
Nd1 0.0000 0.0000 0.5000 (multiplicity 2)